This record from Alexandria via LeMat-Bulk describes LiTlIn3 after structural relaxation. The functional is GGA-PBE.

Output
**Energy relative to the lowest polymorph listed for this composition**: 0.0 meV per atom
**Density**: 7.0 g/cm³
**Calculated volume**: 264.4 Å³ per cell
**M_tot**: 0.00 μB/f.u.

Cell: 7.2191 7.2191 5.8664 Å, 90.00 90.00 120.15°
Last column: nearest neighbours and their distance in Å.
Fractional coordinates of all 10 atoms:
Li 0.0000 0.0000 0.0000  6 In 2.78, 2 Li 2.93
Li 0.0000 0.0000 0.5000  6 In 2.78, 2 Li 2.93
Tl 0.3333 0.6667 0.7500  12 In 3.44-3.62
Tl 0.6667 0.3333 0.2500  12 In 3.44-3.62
In 0.1888 0.3780 0.2500  2 Li 2.78
In 0.1889 0.8111 0.2500  2 Li 2.78
In 0.3780 0.1888 0.7500  2 Li 2.78
In 0.6220 0.8112 0.2500  2 Li 2.78
In 0.8111 0.1889 0.7500  2 Li 2.78
In 0.8112 0.6220 0.7500  2 Li 2.78

This record from Alexandria via LeMat-Bulk describes Li6Tl2In after structural relaxation. The functional is GGA-PBE.

Output
**Energy relative to the lowest polymorph listed for this composition**: 0.0 meV per atom
**Density**: 5.3 g/cm³
**Calculated volume**: 177.9 Å³ per cell
**M_tot**: 0.00 μB/f.u.

Cell: 8.4627 8.4627 8.4627 Å, 159.56 122.36 61.82°
Last column: nearest neighbours and their distance in Å.
Fractional coordinates of all 9 atoms:
Li 0.0071 0.8341 0.1730  4 Li 2.71-3.00, 1 Tl 2.95
Li 0.3239 0.0000 0.3239  5 Li 2.71-3.00
Li 0.3389 0.1659 0.1730  4 Li 2.71-3.00, 1 Tl 2.95
Li 0.6611 0.8341 0.8270  4 Li 2.71-3.00, 1 Tl 2.95
Li 0.6761 0.0000 0.6761  5 Li 2.71-3.00
Li 0.9929 0.1659 0.8270  4 Li 2.71-3.00, 1 Tl 2.95
Tl 0.3443 0.3443 0.0000  10 Li 2.95-3.07, 2 Tl 3.00
Tl 0.6557 0.6557 0.0000  10 Li 2.95-3.07, 2 Tl 3.00
In 0.0000 0.5000 0.5000  2 In 3.00, 12 Li 3.04-3.17

This record from Alexandria via LeMat-Bulk describes LiTlIn2 after structural relaxation. The functional is GGA-PBE.

Output
**Final energy**: -10.1 eV for the cell shown
**Density**: 7.4 g/cm³
**Calculated volume**: 99.6 Å³ per cell
**M_tot**: 0.00 μB/f.u.

Cell: 4.5888 4.5888 4.7291 Å, 90.00 90.00 90.00°
Last column: nearest neighbours and their distance in Å.
Fractional coordinates of all 4 atoms:
Li 0.0000 0.0000 0.0000  4 Tl 3.24, 8 In 3.29
Tl 0.5000 0.5000 0.0000  4 Li 3.24, 8 In 3.29
In 0.0000 0.5000 0.5000  4 In 3.24, 4 Tl 3.29, 4 Li 3.29
In 0.5000 0.0000 0.5000  4 In 3.24, 4 Tl 3.29, 4 Li 3.29

Q: The lowest density belongs to which entry?
A: Li6Tl2In